Ca5AuO6 PBE optimized geometry; E_tot = -5.982 eV per atom; spin magnetization = 0.99 μB per cell; formation energy from raw total energies = -28.75 eV/f.u.
1.0
2.9208 -5.2066 0.0000
2.9208 5.2066 0.0000
-1.6477 0.0000 5.5850
Ca Au O
5 1 6
Direct
0.0000 0.0000 0.0000
0.1712 0.8288 0.5000
0.3359 0.6641 0.0000
0.6641 0.3359 0.0000
0.8288 0.1712 0.5000
0.5000 0.5000 0.5000
0.0539 0.4044 0.2326
0.2572 0.2572 0.7369
0.4044 0.0539 0.2326
0.5956 0.9461 0.7674
0.7428 0.7428 0.2631
0.9461 0.5956 0.7674

PrDy3B PBE optimized geometry; E_tot = -5.003 eV per atom; spin magnetization = 0.00 μB per cell; calculated formation energy = 23.8 kJ/mol of formula units
1.0
5.1873 0.0000 0.0000
0.0000 5.1873 0.0000
0.0000 0.0000 5.1873
Pr Dy B
1 3 1
Direct
0.0000 0.0000 0.0000
0.0000 0.5000 0.5000
0.5000 0.0000 0.5000
0.5000 0.5000 0.0000
0.5000 0.5000 0.5000